Computed, not measured: a PBEsol-optimized structure of YMoP2 at the meta-GGA SCAN level of DFT.

Cell: 4.3021 4.5126 4.5126 Å, 62.57 61.53 61.53°
With the nearest neighbours (Å) after each atom.
Positions (direct):
Y 0.5000 0.0000 0.0000  8 P 2.74-2.79
P 0.7353 0.2647 0.2647  4 Mo 2.63-2.89, 4 Y 2.74-2.79
P 0.2647 0.7353 0.7353  4 Mo 2.63-2.89, 4 Y 2.74-2.79
Mo 0.0000 0.5000 0.5000  8 P 2.63-2.89

## Properties
As for the total energy: -21.4523 eV per atom. The calculation puts the offset from the most stable computed form at 0.177 eV/atom. The space group is Immm, No. 71. Its crystal system is orthorhombic.